(1)
# AlInHgCl4 (GGA-PBE, optimized geometry)
# - electronic total energy (eV per atom) = -3.155
# - SG = C2/m (12)
# - formation energy from raw total energies (eV/f.u.) = -7.9
# - Fermi-level density of states (states/eV/f.u.) = 0.00
data_AlInHgCl4
_cell_length_a 8.0545
_cell_length_b 8.0545
_cell_length_c 8.9268
_cell_angle_alpha 102.00
_cell_angle_beta 102.00
_cell_angle_gamma 75.57
_symmetry_space_group_name_H-M 'P 1'
_symmetry_Int_Tables_number 1
loop_
_symmetry_equiv_pos_as_xyz
'x,y,z'
loop_
_atom_site_label
_atom_site_fract_x
_atom_site_fract_y
_atom_site_fract_z
Al1 0.1517 0.1517 0.2642
Al2 0.8483 0.8483 0.7358
In1 0.2554 0.2554 0.8677
In2 0.7446 0.7446 0.1323
Hg1 0.4735 0.4735 0.1905
Hg2 0.5265 0.5265 0.8095
Cl1 0.0011 0.6532 0.8756
Cl2 0.0094 0.0094 0.7025
Cl3 0.2729 0.2729 0.4823
Cl4 0.3468 0.9989 0.1244
Cl5 0.6532 0.0011 0.8756
Cl6 0.7271 0.7271 0.5177
Cl7 0.9906 0.9906 0.2975
Cl8 0.9989 0.3468 0.1244

=====

(2)
# K2AlHgCl6 (GGA-PBE, optimized geometry)
# - electronic total energy (eV per atom) = -3.128
# - SG = Fm-3m (225)
# - formation energy from raw total energies (eV/f.u.) = -14.0
# - Fermi-level density of states (states/eV/f.u.) = 1.77
data_K2AlHgCl6
_cell_length_a 7.3933
_cell_length_b 7.3933
_cell_length_c 7.3933
_cell_angle_alpha 60.00
_cell_angle_beta 60.00
_cell_angle_gamma 60.00
_symmetry_space_group_name_H-M 'P 1'
_symmetry_Int_Tables_number 1
loop_
_symmetry_equiv_pos_as_xyz
'x,y,z'
loop_
_atom_site_label
_atom_site_fract_x
_atom_site_fract_y
_atom_site_fract_z
K1 0.2500 0.2500 0.2500
K2 0.7500 0.7500 0.7500
Al1 0.0000 0.0000 0.0000
Hg1 0.5000 0.5000 0.5000
Cl1 0.2252 0.2252 0.7748
Cl2 0.2252 0.7748 0.2252
Cl3 0.2252 0.7748 0.7748
Cl4 0.7748 0.2252 0.2252
Cl5 0.7748 0.2252 0.7748
Cl6 0.7748 0.7748 0.2252

=====

(3)
# LiAl2HgCl (GGA-PBE, optimized geometry)
# - electronic total energy (eV per atom) = -2.120
# - SG = P4/mmm (123)
# - formation energy from raw total energies (eV/f.u.) = 0.9
# - Fermi-level density of states (states/eV/f.u.) = 1.03
data_LiAl2HgCl
_cell_length_a 4.9165
_cell_length_b 4.9165
_cell_length_c 4.8904
_cell_angle_alpha 90.00
_cell_angle_beta 90.00
_cell_angle_gamma 90.00
_symmetry_space_group_name_H-M 'P 1'
_symmetry_Int_Tables_number 1
loop_
_symmetry_equiv_pos_as_xyz
'x,y,z'
loop_
_atom_site_label
_atom_site_fract_x
_atom_site_fract_y
_atom_site_fract_z
Li1 0.0000 0.0000 0.0000
Al1 0.0000 0.5000 0.0000
Al2 0.5000 0.0000 0.0000
Hg1 0.0000 0.0000 0.5000
Cl1 0.5000 0.5000 0.5000

=====

(4)
# LiAlHgCl2 (GGA-PBE, optimized geometry)
# - electronic total energy (eV per atom) = -1.989
# - SG = P4/mmm (123)
# - formation energy from raw total energies (eV/f.u.) = -0.3
# - Fermi-level density of states (states/eV/f.u.) = 0.00
data_LiAlHgCl2
_cell_length_a 6.1124
_cell_length_b 6.1124
_cell_length_c 4.7952
_cell_angle_alpha 90.00
_cell_angle_beta 90.00
_cell_angle_gamma 90.00
_symmetry_space_group_name_H-M 'P 1'
_symmetry_Int_Tables_number 1
loop_
_symmetry_equiv_pos_as_xyz
'x,y,z'
loop_
_atom_site_label
_atom_site_fract_x
_atom_site_fract_y
_atom_site_fract_z
Li1 0.0000 0.0000 0.0000
Al1 0.5000 0.5000 0.0000
Hg1 0.0000 0.0000 0.5000
Cl1 0.0000 0.5000 0.5000
Cl2 0.5000 0.0000 0.5000

=====

(5)
# AlHg2MoCl (GGA-PBE, optimized geometry)
# - electronic total energy (eV per atom) = -2.652
# - SG = P4/mmm (123)
# - formation energy from raw total energies (eV/f.u.) = 3.8
# - Fermi-level density of states (states/eV/f.u.) = 2.47
data_AlHg2MoCl
_cell_length_a 5.2770
_cell_length_b 5.2770
_cell_length_c 4.8639
_cell_angle_alpha 90.00
_cell_angle_beta 90.00
_cell_angle_gamma 90.00
_symmetry_space_group_name_H-M 'P 1'
_symmetry_Int_Tables_number 1
loop_
_symmetry_equiv_pos_as_xyz
'x,y,z'
loop_
_atom_site_label
_atom_site_fract_x
_atom_site_fract_y
_atom_site_fract_z
Al1 0.0000 0.0000 0.0000
Hg1 0.0000 0.5000 0.0000
Hg2 0.5000 0.0000 0.0000
Mo1 0.5000 0.5000 0.5000
Cl1 0.0000 0.0000 0.5000

=====

(6)
# NaAlHgCl6 (GGA-PBE, optimized geometry)
# - electronic total energy (eV per atom) = -3.124
# - SG = C2 (5)
# - formation energy from raw total energies (eV/f.u.) = -11.7
# - Fermi-level density of states (states/eV/f.u.) = 0.00
data_NaAlHgCl6
_cell_length_a 8.1386
_cell_length_b 8.1386
_cell_length_c 6.7831
_cell_angle_alpha 96.91
_cell_angle_beta 96.91
_cell_angle_gamma 129.95
_symmetry_space_group_name_H-M 'P 1'
_symmetry_Int_Tables_number 1
loop_
_symmetry_equiv_pos_as_xyz
'x,y,z'
loop_
_atom_site_label
_atom_site_fract_x
_atom_site_fract_y
_atom_site_fract_z
Na1 0.0000 0.0000 0.0000
Al1 0.4384 0.5616 0.0000
Hg1 0.6428 0.3572 0.5000
Cl1 0.1735 0.4451 0.1443
Cl2 0.3132 0.2684 0.7712
Cl3 0.3428 0.0345 0.2553
Cl4 0.5549 0.8265 0.8557
Cl5 0.7316 0.6868 0.2288
Cl6 0.9655 0.6572 0.7447

=====

(7)
# Na2AlHgCl6 (GGA-PBE, optimized geometry)
# - electronic total energy (eV per atom) = -2.978
# - SG = Fm-3m (225)
# - formation energy from raw total energies (eV/f.u.) = -12.0
# - Fermi-level density of states (states/eV/f.u.) = 1.57
data_Na2AlHgCl6
_cell_length_a 7.3252
_cell_length_b 7.3252
_cell_length_c 7.3252
_cell_angle_alpha 60.00
_cell_angle_beta 60.00
_cell_angle_gamma 60.00
_symmetry_space_group_name_H-M 'P 1'
_symmetry_Int_Tables_number 1
loop_
_symmetry_equiv_pos_as_xyz
'x,y,z'
loop_
_atom_site_label
_atom_site_fract_x
_atom_site_fract_y
_atom_site_fract_z
Na1 0.2500 0.2500 0.2500
Na2 0.7500 0.7500 0.7500
Al1 0.0000 0.0000 0.0000
Hg1 0.5000 0.5000 0.5000
Cl1 0.2264 0.2264 0.7736
Cl2 0.2264 0.7736 0.2264
Cl3 0.2264 0.7736 0.7736
Cl4 0.7736 0.2264 0.2264
Cl5 0.7736 0.2264 0.7736
Cl6 0.7736 0.7736 0.2264

=====

(8)
# AlHg2ClO (GGA-PBE, optimized geometry)
# - electronic total energy (eV per atom) = -1.402
# - SG = P4/mmm (123)
# - formation energy from raw total energies (eV/f.u.) = 4.1
# - Fermi-level density of states (states/eV/f.u.) = 25.33
data_AlHg2ClO
_cell_length_a 6.8763
_cell_length_b 6.8763
_cell_length_c 4.8909
_cell_angle_alpha 90.00
_cell_angle_beta 90.00
_cell_angle_gamma 90.00
_symmetry_space_group_name_H-M 'P 1'
_symmetry_Int_Tables_number 1
loop_
_symmetry_equiv_pos_as_xyz
'x,y,z'
loop_
_atom_site_label
_atom_site_fract_x
_atom_site_fract_y
_atom_site_fract_z
Al1 0.0000 0.0000 0.0000
Hg1 0.0000 0.5000 0.5000
Hg2 0.5000 0.0000 0.5000
Cl1 0.0000 0.0000 0.5000
O1 0.5000 0.5000 0.0000

=====

(9)
# Al2HgOsCl (GGA-PBE, optimized geometry)
# - electronic total energy (eV per atom) = -2.823
# - SG = P4/mmm (123)
# - formation energy from raw total energies (eV/f.u.) = 6.8
# - Fermi-level density of states (states/eV/f.u.) = 3.65
data_Al2HgOsCl
_cell_length_a 4.9999
_cell_length_b 4.9999
_cell_length_c 5.3019
_cell_angle_alpha 90.00
_cell_angle_beta 90.00
_cell_angle_gamma 90.00
_symmetry_space_group_name_H-M 'P 1'
_symmetry_Int_Tables_number 1
loop_
_symmetry_equiv_pos_as_xyz
'x,y,z'
loop_
_atom_site_label
_atom_site_fract_x
_atom_site_fract_y
_atom_site_fract_z
Al1 0.0000 0.5000 0.0000
Al2 0.5000 0.0000 0.0000
Hg1 0.0000 0.0000 0.0000
Os1 0.0000 0.0000 0.5000
Cl1 0.5000 0.5000 0.5000

=====

(10)
# AlHgPCl2 (GGA-PBE, optimized geometry)
# - electronic total energy (eV per atom) = -2.916
# - SG = P4/mmm (123)
# - formation energy from raw total energies (eV/f.u.) = -1.4
# - offset from the most stable computed form (meV per atom) = 0
# - Fermi-level density of states (states/eV/f.u.) = 2.10
data_AlHgPCl2
_cell_length_a 4.5820
_cell_length_b 4.5820
_cell_length_c 5.2198
_cell_angle_alpha 90.00
_cell_angle_beta 90.00
_cell_angle_gamma 90.00
_symmetry_space_group_name_H-M 'P 1'
_symmetry_Int_Tables_number 1
loop_
_symmetry_equiv_pos_as_xyz
'x,y,z'
loop_
_atom_site_label
_atom_site_fract_x
_atom_site_fract_y
_atom_site_fract_z
Al1 0.0000 0.0000 0.0000
Hg1 0.5000 0.5000 0.5000
P1 0.0000 0.0000 0.5000
Cl1 0.0000 0.5000 0.0000
Cl2 0.5000 0.0000 0.0000

=====

(11)
# AlHgPCl2 (GGA-PBE, optimized geometry)
# - electronic total energy (eV per atom) = -2.277
# - SG = P4/mmm (123)
# - formation energy from raw total energies (eV/f.u.) = 1.8
# - offset from the most stable computed form (meV per atom) = 639
# - Fermi-level density of states (states/eV/f.u.) = 1.32
data_AlHgPCl2
_cell_length_a 5.5973
_cell_length_b 5.5973
_cell_length_c 4.9474
_cell_angle_alpha 90.00
_cell_angle_beta 90.00
_cell_angle_gamma 90.00
_symmetry_space_group_name_H-M 'P 1'
_symmetry_Int_Tables_number 1
loop_
_symmetry_equiv_pos_as_xyz
'x,y,z'
loop_
_atom_site_label
_atom_site_fract_x
_atom_site_fract_y
_atom_site_fract_z
Al1 0.0000 0.0000 0.0000
Hg1 0.5000 0.5000 0.5000
P1 0.5000 0.5000 0.0000
Cl1 0.0000 0.5000 0.5000
Cl2 0.5000 0.0000 0.5000

=====

(12)
# Al2HgPdCl (GGA-PBE, optimized geometry)
# - electronic total energy (eV per atom) = -3.019
# - SG = P4/mmm (123)
# - formation energy from raw total energies (eV/f.u.) = -0.3
# - Fermi-level density of states (states/eV/f.u.) = 2.25
data_Al2HgPdCl
_cell_length_a 4.8437
_cell_length_b 4.8437
_cell_length_c 5.2642
_cell_angle_alpha 90.00
_cell_angle_beta 90.00
_cell_angle_gamma 90.00
_symmetry_space_group_name_H-M 'P 1'
_symmetry_Int_Tables_number 1
loop_
_symmetry_equiv_pos_as_xyz
'x,y,z'
loop_
_atom_site_label
_atom_site_fract_x
_atom_site_fract_y
_atom_site_fract_z
Al1 0.0000 0.5000 0.0000
Al2 0.5000 0.0000 0.0000
Hg1 0.0000 0.0000 0.5000
Pd1 0.5000 0.5000 0.0000
Cl1 0.5000 0.5000 0.5000